# CrTe2Au

A relaxed CrTe2Au crystal (PBE, Alexandria).

Cell lengths 7.4596, 7.4596, 7.4596 Å; angles 150.75, 148.86, 43.24 degrees
Each line ends with the local moment (μB).
Fractional positions:
Au: 0.5390 0.5390 0.0000  -0.01
Cr: 0.1851 0.6851 0.5000  3.40
Te: 0.0139 0.0139 0.0000  -0.12
Te: 0.7619 0.2619 0.5000  -0.29

Calculated values
DFT total energy ... -4.695 eV/atom
Spin magnetization ... 0.78 μB per atom
Formation energy from raw total energies ... 38.9 kJ/mol of formula units